Entry from OQMD: a geometry-optimized CuAg structure (PBE).

abc: 11.0799 2.8501 9.5106
angles: 90.00 97.19 90.00
Closest atoms and distances in Å follow each position.
Space group Cm (No. 8)
Inequivalent atoms, fractional coordinates:
Cu1 0.0000 0.0000 0.0000 x2  3 Cu 2.48-2.62, 6 Ag 2.70-2.72
Cu2 0.0047 0.5000 0.5490 x2  7 Cu 2.56-2.85, 4 Ag 2.68-2.69
Cu3 0.0897 0.5000 0.8264 x2  5 Cu 2.48-2.69, 4 Ag 2.70-2.75
Cu4 0.0983 0.0000 0.3673 x2  4 Cu 2.56-2.85, 7 Ag 2.70-2.78
Cu5 0.4110 0.5000 0.7309 x2  5 Cu 2.52-2.62, 4 Ag 2.74-2.81
Ag1 0.1807 0.5000 0.1480 x2  4 Cu 2.70-2.77, 8 Ag 2.85-3.02
Ag2 0.2046 0.0000 0.6411 x2  7 Cu 2.69-2.74, 5 Ag 2.81-2.85
Ag3 0.2940 0.0000 0.9304 x2  6 Cu 2.70-2.81, 6 Ag 2.81-2.92
Ag4 0.3132 0.5000 0.4304 x2  5 Cu 2.68-2.93, 7 Ag 2.85-2.89
Ag5 0.4210 0.0000 0.2149 x2  4 Cu 2.70-2.72, 7 Ag 2.85-3.02

* formation enthalpy at 0 K: 0.08 eV/atom
* uncorrected energy: -3.1917 eV per atom